1.
The following is a DFT calculation (PBE) of a relaxed Mg2CuRu crystal.

Cell lengths 8.9637, 8.9637, 8.9637 Å; angles 18.40, 18.40, 18.40 degrees
Element x y z (fractional)
1 Mg 0.2494 0.2494 0.2494
2 Mg 0.7506 0.7506 0.7506
3 Cu 0.0000 0.0000 0.0000
4 Ru 0.5000 0.5000 0.5000

Values from the calculation:
calculated formation energy: 0.09 eV/atom
V: 63 Å³/cell

=====

2.
The following is a DFT calculation (PBE) of a relaxed MgCuRu crystal.

Cell lengths 4.3784, 4.3784, 2.6110 Å; angles 90.00, 90.00, 120.00 degrees
Element x y z (fractional)
1 Mg 0.0000 0.0000 0.0000
2 Cu 0.6667 0.3333 0.7564
3 Ru 0.3333 0.6667 0.4028

Values from the calculation:
distance to the lowest polymorph of the same formula: 0.135 eV per atom
calculated formation energy: 0.19 eV/atom
V: 43 Å³/cell

=====

3.
The following is a DFT calculation (PBE) of a relaxed MgCuRu crystal.

Cell lengths 4.7301, 4.7301, 7.4782 Å; angles 112.06, 112.06, 34.63 degrees
Element x y z (fractional)
1 Mg 0.9997 0.9997 0.2234
2 Mg 0.0003 0.0003 0.7766
3 Cu 0.3061 0.3061 0.8951
4 Cu 0.6939 0.6939 0.1049
5 Ru 0.3413 0.3413 0.4352
6 Ru 0.6587 0.6587 0.5648

Values from the calculation:
distance to the lowest polymorph of the same formula: 0.000 eV per atom
calculated formation energy: 0.06 eV/atom
V: 87 Å³/cell

=====

4.
The following is a DFT calculation (PBE) of a relaxed Mg2CuRu2 crystal.

Cell lengths 7.8509, 7.8509, 7.8509 Å; angles 154.46, 154.46, 36.44 degrees
Element x y z (fractional)
1 Mg 0.0989 0.0989 0.0000
2 Mg 0.9011 0.9011 0.0000
3 Cu 0.5000 0.5000 0.0000
4 Ru 0.2500 0.7500 0.5000
5 Ru 0.7500 0.2500 0.5000

Values from the calculation:
distance to the lowest polymorph of the same formula: 0.193 eV per atom
calculated formation energy: 0.39 eV/atom
V: 90 Å³/cell

=====

5.
The following is a DFT calculation (PBE) of a relaxed MgCuRu crystal.

Cell lengths 6.0239, 6.0239, 6.0239 Å; angles 153.36, 153.36, 38.03 degrees
Element x y z (fractional)
1 Mg 0.0000 0.0000 0.0000
2 Cu 0.6732 0.6732 0.0000
3 Ru 0.3254 0.3254 0.0000

Values from the calculation:
distance to the lowest polymorph of the same formula: 0.103 eV per atom
calculated formation energy: 0.16 eV/atom
V: 44 Å³/cell

=====

6.
The following is a DFT calculation (PBE) of a relaxed Mg2CuRu crystal.

Cell lengths 5.6308, 5.6308, 5.6308 Å; angles 103.37, 103.37, 122.52 degrees
Element x y z (fractional)
1 Mg 0.1095 0.6250 0.9845
2 Mg 0.3750 0.3595 0.4845
3 Mg 0.6405 0.1250 0.0155
4 Mg 0.8750 0.8905 0.5155
5 Cu 0.0000 0.0000 0.0000
6 Cu 0.7500 0.2500 0.5000
7 Ru 0.2500 0.7500 0.5000
8 Ru 0.5000 0.5000 0.0000

Values from the calculation:
calculated formation energy: 0.37 eV/atom
V: 132 Å³/cell

=====

7.
The following is a DFT calculation (PBE) of a relaxed MgCuRu crystal.

Cell lengths 4.7706, 4.7706, 4.7706 Å; angles 147.94, 130.43, 60.26 degrees
Element x y z (fractional)
1 Mg 0.0000 0.0000 0.0000
2 Cu 0.3298 0.3298 0.0000
3 Ru 0.6727 0.6727 0.0000

Values from the calculation:
distance to the lowest polymorph of the same formula: 0.108 eV per atom
calculated formation energy: 0.17 eV/atom
V: 43 Å³/cell

=====

8.
The following is a DFT calculation (PBE) of a relaxed MgCuRu2 crystal.

Cell lengths 2.7945, 3.7131, 5.5836 Å; angles 90.00, 90.00, 90.00 degrees
Element x y z (fractional)
1 Mg 0.0000 0.0000 0.0000
2 Cu 0.5000 0.5000 0.2343
3 Ru 0.0000 0.0000 0.5027
4 Ru 0.5000 0.5000 0.7040

Values from the calculation:
calculated formation energy: 0.06 eV/atom
V: 58 Å³/cell

=====

9.
The following is a DFT calculation (PBE) of a relaxed Mg2CuRu crystal.

Cell lengths 2.7592, 4.1441, 5.4926 Å; angles 90.00, 90.00, 90.00 degrees
Element x y z (fractional)
1 Mg 0.0000 0.0000 0.0000
2 Mg 0.5000 0.5000 0.3037
3 Cu 0.5000 0.5000 0.7716
4 Ru 0.0000 0.0000 0.5164

Values from the calculation:
calculated formation energy: 0.11 eV/atom
V: 63 Å³/cell

=====

10.
The following is a DFT calculation (PBE) of a relaxed Mg2CuRu crystal.

Cell lengths 3.1779, 3.1779, 6.4563 Å; angles 90.00, 90.00, 90.00 degrees
Element x y z (fractional)
1 Mg 0.0000 0.0000 0.0000
2 Mg 0.5000 0.5000 0.3352
3 Cu 0.5000 0.5000 0.7711
4 Ru 0.0000 0.0000 0.5667

Values from the calculation:
calculated formation energy: 0.11 eV/atom
V: 65 Å³/cell

=====

11.
The following is a DFT calculation (PBE) of a relaxed MgCu2Ru2 crystal.

Cell lengths 7.1995, 7.1995, 2.8607 Å; angles 90.00, 90.00, 90.00 degrees
Element x y z (fractional)
1 Mg 0.0000 0.0000 0.0000
2 Mg 0.5000 0.5000 0.0000
3 Cu 0.1749 0.3251 0.5000
4 Cu 0.3251 0.8251 0.5000
5 Cu 0.6749 0.1749 0.5000
6 Cu 0.8251 0.6749 0.5000
7 Ru 0.1213 0.6213 0.0000
8 Ru 0.3787 0.1213 0.0000
9 Ru 0.6213 0.8787 0.0000
10 Ru 0.8787 0.3787 0.0000

Values from the calculation:
distance to the lowest polymorph of the same formula: 0.000 eV per atom
calculated formation energy: 0.35 eV/atom
V: 148 Å³/cell

=====

12.
The following is a DFT calculation (PBE) of a relaxed MgCuRu2 crystal.

Cell lengths 2.6709, 2.6709, 8.8055 Å; angles 90.00, 90.00, 113.67 degrees
Element x y z (fractional)
1 Mg 0.0000 0.0000 0.0000
2 Cu 0.0000 0.0000 0.5000
3 Ru 0.5000 0.5000 0.2569
4 Ru 0.5000 0.5000 0.7431

Values from the calculation:
calculated formation energy: 0.32 eV/atom
V: 58 Å³/cell

=====

Taking the records one at a time from the top gives D(E_F) values of 1.71, 3.41, 2.04, 4.02, 2.61, 4.42, 1.85, 2.18, 2.31, 3.20, 5.39, 5.73 states/eV/f.u..